A relaxed Sm2TlAu3 crystal. Source: the Alexandria database, functional PBE-GGA.

## Properties
ρ in g/cm³: 12.77
VASP energy in eV/atom: -4.2364
V in A^3/atom: 23.75
Space group: No. 69

POSCAR file:
```
Sm2TlAu3
1.0
0.000 4.826 8.410
3.510 0.000 8.410
3.510 4.826 0.000
Sm Tl Au
4 2 6
Direct
0.242 0.758 0.758
0.250 0.250 0.250
0.750 0.750 0.750
0.758 0.242 0.242
0.334 0.334 0.666
0.666 0.666 0.334
0.166 0.670 0.330
0.167 0.167 0.833
0.330 0.834 0.166
0.670 0.166 0.834
0.833 0.833 0.167
0.834 0.330 0.670
```